Entry from the Alexandria database: a relaxed structure of Te2PPb (GGA-PBEsol). Values from VASP.

Energy relative to the lowest polymorph listed for this composition, kJ/mol of formula units: 4.9
Formation energy (no corrections), meV per atom: 44
V, Å³/f.u.: 117
Magnetization, μB per atom: 0.0000
Symmetry: No. 6
DFT total energy, eV per atom: -4.166

```
&SYSTEM
  ibrav = 0, nat = 4, ntyp = 3
/
ATOMIC_SPECIES
Pb 207.20 Pb.upf
Te 127.60 Te.upf
P 30.97 P.upf
ATOMIC_POSITIONS crystal
Pb 0.5000 0.3244 0.7633
Te 0.0000 0.9447 0.9123
Te 0.5000 0.6877 0.3304
P 0.0000 0.5432 0.4939
CELL_PARAMETERS angstrom
4.5613 0.0000 0.0000
0.0000 4.5373 0.0478
0.0000 -2.0781 5.6109
```

Entry from the Alexandria database: a relaxed structure of TePPb2 (GGA-PBEsol). Values from VASP.

Energy relative to the lowest polymorph listed for this composition, kJ/mol of formula units: 118.5
Formation energy (no corrections), meV per atom: 336
V, Å³/f.u.: 102
Magnetization, μB per atom: 0.0000
Symmetry: No. 216
DFT total energy, eV per atom: -3.993

```
&SYSTEM
  ibrav = 0, nat = 4, ntyp = 3
/
ATOMIC_SPECIES
P 30.97 P.upf
Te 127.60 Te.upf
Pb 207.20 Pb.upf
ATOMIC_POSITIONS crystal
P 0.5000 0.5000 0.5000
Te 0.7500 0.7500 0.7500
Pb 0.0000 0.0000 0.0000
Pb 0.2500 0.2500 0.2500
CELL_PARAMETERS angstrom
-3.6574 -3.4788 1.4329
-0.3629 -4.6025 -2.4934
1.4034 -4.4258 2.4442
```

- Which of these has the lowest DFT total energy?
  Te2PPb